<1>
4
Lattice="-0.524 -1.066 -4.393 -2.186 -3.039 0.999 -4.635 2.349 -0.017" Properties=species:S:1:pos:R:3 comment="YTePt2 PBE relaxed" space_group="No. 6" dos_at_fermi_per_ev_fu=1.9 pbc="T T T"
Pt -4.858 1.711 0.165
Pt -1.867 -0.472 -2.019
Y -5.692 -0.926 -1.453
Te -2.974 -0.065 0.371



<2>
4
Lattice="5.669 -0.318 -0.201 4.089 3.939 -0.201 4.089 1.517 3.641" Properties=species:S:1:pos:R:3 comment="YTePt2 PBE relaxed" space_group="No. 160" dos_at_fermi_per_ev_fu=2.5 pbc="T T T"
Te 7.813 2.900 1.828
Y 10.531 3.908 2.464
Pt 13.771 5.111 3.222
Pt 2.500 0.928 0.585



Result of the stability comparison: <1> is the most stable of them.



<1>
16
Lattice="6.022 0.000 0.000 0.000 3.991 0.000 0.000 0.000 13.575" Properties=species:S:1:pos:R:3 comment="TlBrO2 PBE relaxed" space_group="No. 62" dos_at_fermi_per_ev_fu=0.0 pbc="T T T"
O 4.795 0.998 10.889
O 5.034 0.998 6.009
O 0.988 2.993 7.566
O 1.784 0.998 9.474
O 1.227 2.993 2.686
O 4.238 2.993 4.101
O 2.023 0.998 0.779
O 3.999 2.993 12.797
Br 5.282 2.993 5.548
Br 2.271 2.993 1.240
Br 0.740 0.998 8.027
Br 3.751 0.998 12.336
Tl 3.621 2.993 8.904
Tl 0.610 2.993 11.458
Tl 2.401 0.998 4.671
Tl 5.412 0.998 2.117



<2>
8
Lattice="-14.377 -4.018 -10.791 -2.755 -0.198 -6.170 6.662 -0.228 1.123" Properties=species:S:1:pos:R:3 comment="TlBrO2 PBE relaxed" space_group="No. 12" dos_at_fermi_per_ev_fu=0.0 pbc="T T T"
O -0.962 -0.909 -2.695
O -4.282 -1.348 -5.228
O -8.151 -2.918 -8.090
O -11.471 -3.357 -10.624
Br -7.857 -3.350 -11.881
Br -0.669 -1.341 -6.485
Tl -9.811 -3.137 -9.357
Tl -2.622 -1.128 -3.962



Result of the stability comparison: <2> is the most stable of them.



<1>
12
Lattice="2.512 0.000 0.000 0.000 2.528 0.000 0.000 0.000 11.681" Properties=species:S:1:pos:R:3 comment="BC3 PBE relaxed" space_group="No. 25" dos_at_fermi_per_ev_fu=0.7 pbc="T T T"
C 0.000 0.000 0.196
C 1.256 0.000 2.858
C 0.000 1.264 1.053
C 1.256 0.000 6.740
C 1.256 1.264 9.732
C 0.000 0.000 3.781
C 0.000 1.264 8.908
C 0.000 1.264 4.639
C 1.256 1.264 1.979
B 0.000 0.000 7.806
B 1.256 0.000 10.807
B 1.256 1.264 5.744



<2>
12
Lattice="-1.122 -1.176 -4.118 -1.119 -3.302 -2.729 -5.691 2.865 4.395" Properties=species:S:1:pos:R:3 comment="BC3 PBE relaxed" space_group="No. 8" dos_at_fermi_per_ev_fu=0.8 pbc="T T T"
C -5.109 -2.997 -4.576
C -6.196 -0.641 -0.969
C -2.019 -3.663 -5.601
C -3.338 -1.067 -1.626
C -4.551 0.416 0.645
C -6.022 0.185 0.295
C -1.641 -0.130 -0.196
C -4.401 1.262 1.940
C -5.016 -2.143 -3.270
B -5.698 2.813 4.316
B -1.638 -1.016 -1.552
B -3.382 -1.977 -3.018



Result of the stability comparison: <1> is the most stable of them.



<1>
6
Lattice="3.374 -3.599 -0.875 1.417 4.742 0.776 -2.120 -1.355 4.332" Properties=species:S:1:pos:R:3 comment="Re2Os PBE relaxed" space_group="No. 140" dos_at_fermi_per_ev_fu=1.7 pbc="T T T"
Re -0.077 0.525 2.323
Re 1.967 2.485 1.305
Re 0.704 -2.696 2.929
Re 2.748 -0.736 1.911
Os 1.198 0.286 -0.025
Os 3.593 0.858 -0.074



<2>
6
Lattice="2.179 -3.774 0.000 2.179 3.774 0.000 0.000 0.000 5.475" Properties=species:S:1:pos:R:3 comment="Re2Os PBE relaxed" space_group="No. 194" dos_at_fermi_per_ev_fu=2.4 pbc="T T T"
Os 2.179 -1.258 4.106
Os 2.179 1.258 1.369
Re 2.179 -1.258 1.369
Re 2.179 1.258 4.106
Re 0.000 0.000 0.000
Re 0.000 0.000 2.737



Result of the stability comparison: <2> is the most stable of them.



<1>
4
Lattice="2.631 -5.060 -1.221 3.770 -2.318 3.799 -1.432 -4.819 2.957" Properties=species:S:1:pos:R:3 comment="KSrIn2 PBE relaxed" space_group="No. 225" dos_at_fermi_per_ev_fu=3.1 pbc="T T T"
In 1.242 -3.049 1.384
In 3.727 -9.148 4.152
K 0.000 0.000 0.000
Sr 2.485 -6.099 2.768



<2>
4
Lattice="-1.159 1.082 -3.847 -1.238 -3.901 -0.725 -7.674 1.905 2.848" Properties=species:S:1:pos:R:3 comment="KSrIn2 PBE relaxed" space_group="No. 123" dos_at_fermi_per_ev_fu=2.4 pbc="T T T"
In -7.432 1.845 2.758
In -4.078 1.013 1.514
K -3.117 -0.933 -1.574
Sr -6.953 0.020 -0.150



Result of the stability comparison: <2> is the most stable of them.



<1>
16
Lattice="-1.527 3.904 3.037 3.927 -3.038 5.880 5.018 3.259 -1.667" Properties=species:S:1:pos:R:3 comment="TaF PBE relaxed" space_group="No. 19" dos_at_fermi_per_ev_fu=1.2 pbc="T T T"
Ta 2.409 5.332 1.235
Ta 5.624 1.888 2.345
Ta 2.955 0.543 3.254
Ta 3.847 0.487 7.665
Ta 4.180 2.448 5.463
Ta 0.110 2.093 4.091
Ta 5.240 0.061 4.652
Ta 5.307 3.648 0.294
F 6.884 4.171 6.081
F 3.400 2.985 -0.450
F 2.237 2.193 4.397
F 4.418 -1.048 6.302
F 2.025 -0.358 5.048
F 4.781 4.121 4.251
F 3.798 1.000 1.467
F 2.128 3.438 1.904



<2>
8
Lattice="4.930 0.000 0.000 0.000 4.930 0.000 0.000 0.000 4.930" Properties=species:S:1:pos:R:3 comment="TaF PBE relaxed" space_group="No. 216" dos_at_fermi_per_ev_fu=1.1 pbc="T T T"
Ta 0.000 2.465 2.465
Ta 0.000 0.000 0.000
Ta 2.465 2.465 0.000
Ta 2.465 0.000 2.465
F 3.697 3.697 1.232
F 3.697 1.232 3.697
F 1.232 1.232 1.232
F 1.232 3.697 3.697



Result of the stability comparison: <1> is the most stable of them.